Entry 1:
A geometry-optimized Li4CaHg12 structure, computed with PBE.

Cell and atoms, written as CIF:
```
data_Li4CaHg12
_chemical_formula_sum 'Li4 Ca1 Hg12'
_cell_length_a 8.254
_cell_length_b 8.254
_cell_length_c 8.254
_cell_angle_alpha 109.47
_cell_angle_beta 109.47
_cell_angle_gamma 109.47
_symmetry_space_group_name_H-M 'P 1'
_symmetry_Int_Tables_number 1
loop_
_symmetry_equiv_pos_as_xyz
'x,y,z'
loop_
_atom_site_label
_atom_site_type_symbol
_atom_site_fract_x
_atom_site_fract_y
_atom_site_fract_z
Li1 Li 0.000 0.500 0.000
Li2 Li 0.500 0.000 0.000
Li3 Li 0.500 0.500 0.500
Li4 Li 0.000 0.000 0.500
Ca1 Ca 0.000 0.000 0.000
Hg1 Hg 0.843 0.343 0.186
Hg2 Hg 0.343 0.500 0.157
Hg3 Hg 0.814 0.157 0.657
Hg4 Hg 0.343 0.186 0.843
Hg5 Hg 0.186 0.843 0.343
Hg6 Hg 0.657 0.500 0.843
Hg7 Hg 0.500 0.157 0.343
Hg8 Hg 0.500 0.843 0.657
Hg9 Hg 0.657 0.814 0.157
Hg10 Hg 0.843 0.657 0.500
Hg11 Hg 0.157 0.343 0.500
Hg12 Hg 0.157 0.657 0.814
```

Space-group type   No. 204
DFT formation energy   -0.146 eV/atom

Entry 2:
A geometry-optimized LiCa5Hg6 structure, computed with PBE.

Cell and atoms, written as CIF:
```
data_LiCa5Hg6
_chemical_formula_sum 'Li1 Ca5 Hg6'
_cell_length_a 5.267
_cell_length_b 9.140
_cell_length_c 9.140
_cell_angle_alpha 119.70
_cell_angle_beta 106.63
_cell_angle_gamma 106.63
_symmetry_space_group_name_H-M 'P 1'
_symmetry_Int_Tables_number 1
loop_
_symmetry_equiv_pos_as_xyz
'x,y,z'
loop_
_atom_site_label
_atom_site_type_symbol
_atom_site_fract_x
_atom_site_fract_y
_atom_site_fract_z
Ca1 Ca 0.500 0.168 0.832
Ca2 Ca 0.000 0.334 0.666
Ca3 Ca 0.500 0.500 0.500
Ca4 Ca 0.000 0.666 0.334
Ca5 Ca 0.500 0.832 0.168
Hg1 Hg 0.242 0.080 0.405
Hg2 Hg 0.758 0.595 0.920
Hg3 Hg 0.739 0.237 0.237
Hg4 Hg 0.261 0.763 0.763
Hg5 Hg 0.242 0.405 0.080
Hg6 Hg 0.758 0.920 0.595
Li1 Li 0.000 0.000 0.000
```

Space-group type   No. 12
DFT formation energy   -0.494 eV/atom

Entry 3:
A geometry-optimized Li2CaHg2 structure, computed with PBE.

Cell and atoms, written as CIF:
```
data_Li2CaHg2
_chemical_formula_sum 'Li4 Ca2 Hg4'
_cell_length_a 8.078
_cell_length_b 8.078
_cell_length_c 3.538
_cell_angle_alpha 90.00
_cell_angle_beta 90.00
_cell_angle_gamma 90.00
_symmetry_space_group_name_H-M 'P 1'
_symmetry_Int_Tables_number 1
loop_
_symmetry_equiv_pos_as_xyz
'x,y,z'
loop_
_atom_site_label
_atom_site_type_symbol
_atom_site_fract_x
_atom_site_fract_y
_atom_site_fract_z
Ca1 Ca 0.000 0.000 0.000
Ca2 Ca 0.500 0.500 0.000
Hg1 Hg 0.364 0.864 0.000
Hg2 Hg 0.864 0.636 0.000
Hg3 Hg 0.636 0.136 0.000
Hg4 Hg 0.136 0.364 0.000
Li1 Li 0.156 0.656 0.500
Li2 Li 0.656 0.844 0.500
Li3 Li 0.844 0.344 0.500
Li4 Li 0.344 0.156 0.500
```

Space-group type   No. 127
DFT formation energy   -0.313 eV/atom

Entry 4:
A geometry-optimized Li3Ca4Hg structure, computed with PBE.

Cell and atoms, written as CIF:
```
data_Li3Ca4Hg
_chemical_formula_sum 'Li3 Ca4 Hg1'
_cell_length_a 3.911
_cell_length_b 3.911
_cell_length_c 15.617
_cell_angle_alpha 90.00
_cell_angle_beta 90.00
_cell_angle_gamma 90.00
_symmetry_space_group_name_H-M 'P 1'
_symmetry_Int_Tables_number 1
loop_
_symmetry_equiv_pos_as_xyz
'x,y,z'
loop_
_atom_site_label
_atom_site_type_symbol
_atom_site_fract_x
_atom_site_fract_y
_atom_site_fract_z
Ca1 Ca 0.000 0.000 0.885
Ca2 Ca 0.000 0.000 0.115
Ca3 Ca 0.000 0.000 0.373
Ca4 Ca 0.000 0.000 0.627
Hg1 Hg 0.500 0.500 0.000
Li1 Li 0.500 0.500 0.244
Li2 Li 0.500 0.500 0.500
Li3 Li 0.500 0.500 0.756
```

Space-group type   No. 123
DFT formation energy   -0.138 eV/atom

| no. | density of states at the Fermi level (states/eV per atom) |
| --- | --- |
| 1 | 0.47 |
| 2 | 0.61 |
| 3 | 0.46 |
| 4 | 0.72 |